[1]
Computed, not measured: LaTb4Y6 after structural relaxation at the GGA-PBE level of DFT.

Unit cell a=5.6498 b=5.6498 c=25.8952 alpha=90.00 beta=90.00 gamma=118.75
Fractional positions:
La 0.1795 0.8205 0.7500
La 0.8205 0.1795 0.2500
Tb 0.1601 0.8399 0.0417
Tb 0.1601 0.8399 0.4583
Tb 0.4777 0.5223 0.1214
Tb 0.4777 0.5223 0.3786
Tb 0.5223 0.4777 0.6214
Tb 0.5223 0.4777 0.8786
Tb 0.8399 0.1601 0.5417
Tb 0.8399 0.1601 0.9583
Y 0.1493 0.8507 0.1801
Y 0.1493 0.8507 0.3199
Y 0.1836 0.8164 0.6007
Y 0.1836 0.8164 0.8993
Y 0.4859 0.5141 0.2500
Y 0.5000 0.5000 0.0000
Y 0.5000 0.5000 0.5000
Y 0.5141 0.4859 0.7500
Y 0.8164 0.1836 0.1007
Y 0.8164 0.1836 0.3993
Y 0.8507 0.1493 0.6801
Y 0.8507 0.1493 0.8199

Output
* total magnetic moment: 0.0 Bohr magnetons per cell
* relative energy among the computed polymorphs: 0.0 meV per atom
* Fermi-level density of states: 40.49 states/eV per cell
* total energy: -60.97 eV per formula unit
* space group: No. 63



[2]
Computed, not measured: LaTb2Y8 after structural relaxation at the GGA-PBE level of DFT.

Unit cell a=10.2658 b=10.2658 c=5.5656 alpha=92.75 beta=92.75 gamma=40.05
Fractional positions:
La 0.0000 0.0000 0.0000
Tb 0.2846 0.2846 0.7519
Tb 0.7154 0.7154 0.2481
Y 0.1329 0.5990 0.2686
Y 0.1889 0.1889 0.2345
Y 0.4010 0.8671 0.7314
Y 0.4528 0.4528 0.7622
Y 0.5472 0.5472 0.2378
Y 0.5990 0.1329 0.2686
Y 0.8111 0.8111 0.7655
Y 0.8671 0.4010 0.7314

Output
* total magnetic moment: 0.0 Bohr magnetons per cell
* relative energy among the computed polymorphs: 0.0 meV per atom
* Fermi-level density of states: 19.53 states/eV per cell
* total energy: -64.43 eV per formula unit
* space group: No. 12



[3]
Computed, not measured: La6TbY8 after structural relaxation at the GGA-PBE level of DFT.

Unit cell a=8.8842 b=8.8842 c=8.8842 alpha=62.05 beta=62.05 gamma=62.05
Fractional positions:
La 0.0358 0.7344 0.5917
La 0.2656 0.4083 0.9642
La 0.4083 0.9642 0.2656
La 0.5917 0.0358 0.7344
La 0.7344 0.5917 0.0358
La 0.9642 0.2656 0.4083
Tb 0.5000 0.5000 0.5000
Y 0.0774 0.0774 0.0774
Y 0.2031 0.2661 0.6136
Y 0.2661 0.6136 0.2031
Y 0.3864 0.7969 0.7339
Y 0.6136 0.2031 0.2661
Y 0.7339 0.3864 0.7969
Y 0.7969 0.7339 0.3864
Y 0.9226 0.9226 0.9226

Output
* total magnetic moment: 0.0 Bohr magnetons per cell
* Fermi-level density of states: 24.84 states/eV per cell
* total energy: -84.25 eV per formula unit
* space group: No. 148



The calculation returns the following V values, one per record and in order: 724.7; 376.9; 518.5 Å³/cell.
The calculation returns the following energy of formation from the pure elements values, one per record and in order: 0.115; 0.134; 0.110 eV per atom.